Entry from Alexandria via LeMat-Bulk: a geometry-optimized CaMgAs structure (PBE).

## Properties
Fermi-level density of states (states/eV per cell): 1.7
V (Å³/cell): 76.9
Total magnetization (μB per formula unit): 0.0
SG: F-43m (216)
Energy relative to the elements (eV/atom): -0.61
Distance to the lowest polymorph of the same formula (meV per atom): 53.3

Lattice parameters (Å, degrees): 4.773 4.773 4.773 60.00 60.00 60.00
Element x y z (fractional)
Ca (0.000, 0.000, 0.000)
Mg (0.500, 0.500, 0.500)
As (0.250, 0.250, 0.250)